Computed, not measured: a relaxed Li2NdAg9 crystal at the PBE level of DFT.

It has space group R-3m (No. 166, hexagonal axes), with a = 5.5473 Å, b = 5.5473 Å, c = 27.8258 Å, α = 90.00°, β = 90.00° and γ = 120.00°. The distinct sites, in fractional coordinates, are Li at (0.0000, 0.0000, 0.1481), Nd at (0.0000, 0.0000, 0.0000), Ag at (0.0000, 0.0000, 0.3330), Ag at (0.0000, 0.0000, 0.5000) and Ag at (0.0026, 0.5013, 0.9145).

The value obtained for the formation energy is -0.0944 eV per atom. As for the total energy: -2.95 eV per atom.